A plane-wave DFT calculation with PBE was carried out for a relaxed KLi2Ir crystal.

Cell lengths 5.3827, 5.3827, 5.3827 Å; angles 134.77, 134.77, 65.89 degrees
Each line ends with the local moment (μB).
Fractional coordinates of all 4 atoms:
K (0.7500, 0.2500, 0.5000)  0.00
Li (0.0000, 0.0000, 0.0000)  -0.01
Li (0.2500, 0.7500, 0.5000)  -0.01
Ir (0.5000, 0.5000, 0.0000)  0.13

## Properties
DOS at the Fermi energy: 1.76 states/eV per cell
Polymorph energy (0 for the lowest one): 0.331 eV/atom
M_tot: 0.09 μB/cell
E_form: 0.55 eV per atom


A plane-wave DFT calculation with PBE was carried out for a relaxed Sm5Y2Er crystal.

Cell lengths 5.6029, 6.5864, 16.2237 Å; angles 90.00, 90.00, 115.17 degrees
Fractional coordinates of all 16 atoms:
Sm (0.0790, 0.1580, 0.0905)
Sm (0.0790, 0.1580, 0.4095)
Sm (0.3849, 0.7699, 0.4472)
Sm (0.4620, 0.9241, 0.7500)
Sm (0.6151, 0.2301, 0.5528)
Sm (0.6151, 0.2301, 0.9472)
Sm (0.9210, 0.8420, 0.5905)
Sm (0.5380, 0.0759, 0.2500)
Sm (0.3849, 0.7699, 0.0528)
Sm (0.9210, 0.8420, 0.9095)
Y (0.7755, 0.5511, 0.1311)
Y (0.7755, 0.5511, 0.3689)
Y (0.2245, 0.4489, 0.6311)
Y (0.2245, 0.4489, 0.8689)
Er (0.7414, 0.4828, 0.7500)
Er (0.2586, 0.5172, 0.2500)

## Properties
DOS at the Fermi energy: 26.89 states/eV per cell
Polymorph energy (0 for the lowest one): 0.114 eV/atom
M_tot: 0.00 μB/cell
E_form: 0.13 eV per atom


A plane-wave DFT calculation with PBE was carried out for a relaxed SrReNi2 crystal.

Cell lengths 5.3547, 5.3547, 5.3547 Å; angles 138.04, 138.04, 60.84 degrees
Each line ends with the local moment (μB).
Fractional coordinates of all 4 atoms:
Sr (0.7500, 0.2500, 0.5000)  0.00
Ni (0.2500, 0.7500, 0.5000)  0.53
Ni (0.0000, 0.0000, 0.0000)  0.64
Re (0.5000, 0.5000, 0.0000)  1.29

## Properties
DOS at the Fermi energy: 3.67 states/eV per cell
Polymorph energy (0 for the lowest one): 0.824 eV/atom
M_tot: 2.54 μB/cell
E_form: 0.97 eV per atom


A plane-wave DFT calculation with PBE was carried out for a relaxed Tb5CdHg6 crystal.

Cell lengths 5.2357, 7.4629, 8.2110 Å; angles 90.00, 71.41, 90.00 degrees
Each line ends with the local moment (μB).
Fractional coordinates of all 12 atoms:
Hg (0.5000, 0.7347, 0.0000)  0.00
Hg (0.1669, 0.2391, 0.6661)  0.00
Hg (0.8331, 0.7609, 0.3339)  0.00
Hg (0.8330, 0.2391, 0.3339)  0.00
Hg (0.5000, 0.2653, 0.0000)  0.00
Hg (0.1670, 0.7609, 0.6661)  0.00
Tb (0.6735, 0.5000, 0.6530)  0.08
Tb (0.3265, 0.5000, 0.3470)  0.08
Tb (0.0000, 0.5000, 0.0000)  0.05
Tb (0.3442, 0.0000, 0.3117)  0.00
Tb (0.6558, 0.0000, 0.6883)  0.00
Cd (0.0000, 0.0000, 0.0000)  0.00

## Properties
DOS at the Fermi energy: 9.17 states/eV per cell
M_tot: 0.29 μB/cell
E_form: -0.45 eV per atom


A plane-wave DFT calculation with PBE was carried out for a relaxed La3Nd4Pd2 crystal.

Cell lengths 6.0206, 6.1611, 9.3057 Å; angles 70.84, 80.18, 59.10 degrees
Fractional coordinates of all 9 atoms:
Nd (0.0047, 0.1984, 0.5997)
Nd (0.9953, 0.8016, 0.4003)
Nd (0.3319, 0.2303, 0.2057)
Nd (0.6681, 0.7697, 0.7943)
Pd (0.4995, 0.7522, 0.4997)
Pd (0.5005, 0.2478, 0.5003)
La (0.0000, 0.0000, 0.0000)
La (0.3444, 0.4352, 0.7881)
La (0.6556, 0.5648, 0.2119)

## Properties
DOS at the Fermi energy: 12.38 states/eV per cell
M_tot: 0.00 μB/cell
E_form: -0.32 eV per atom


A plane-wave DFT calculation with PBE was carried out for a relaxed Li5BIr2 crystal.

Cell lengths 2.9320, 6.2506, 11.0332 Å; angles 90.00, 90.00, 90.00 degrees
Fractional coordinates of all 16 atoms:
Li (0.0000, 0.0000, 0.0000)
Li (0.5000, 0.2428, 0.3680)
Li (0.5000, 0.7572, 0.6320)
Li (0.0000, 0.5000, 0.5000)
Li (0.0000, 0.4617, 0.7354)
Li (0.0000, 0.9617, 0.7646)
Li (0.0000, 0.5383, 0.2646)
Li (0.0000, 0.0383, 0.2354)
Li (0.5000, 0.2572, 0.8680)
Li (0.5000, 0.7428, 0.1320)
B (0.0000, 0.5000, 0.0000)
B (0.0000, 0.0000, 0.5000)
Ir (0.5000, 0.6727, 0.9023)
Ir (0.5000, 0.3273, 0.0977)
Ir (0.5000, 0.1727, 0.5977)
Ir (0.5000, 0.8273, 0.4023)

## Properties
DOS at the Fermi energy: 3.86 states/eV per cell
M_tot: 0.00 μB/cell
E_form: -0.21 eV per atom


A plane-wave DFT calculation with PBE was carried out for a relaxed Ti2Al3Ni4 crystal.

Cell lengths 4.1765, 4.1758, 7.8663 Å; angles 90.01, 90.00, 59.99 degrees
Fractional coordinates of all 9 atoms:
Al (0.3331, 0.3338, 0.4196)
Al (0.6669, 0.6662, 0.5804)
Al (0.0000, 0.0000, 0.0000)
Ni (0.6667, 0.6666, 0.9010)
Ni (0.9995, 0.0009, 0.3453)
Ni (0.0005, 0.9991, 0.6547)
Ni (0.3333, 0.3334, 0.0990)
Ti (0.6665, 0.6670, 0.2137)
Ti (0.3335, 0.3330, 0.7863)

## Properties
DOS at the Fermi energy: 6.11 states/eV per cell
M_tot: 0.00 μB/cell
E_form: -0.53 eV per atom


A plane-wave DFT calculation with PBE was carried out for a relaxed Pa2FeSb crystal.

Cell lengths 3.9014, 3.9014, 7.6421 Å; angles 75.21, 75.21, 60.00 degrees
Fractional coordinates of all 4 atoms:
Sb (0.0000, 0.0000, 0.0000)
Pa (0.7679, 0.7679, 0.6964)
Pa (0.2321, 0.2321, 0.3036)
Fe (0.5000, 0.5000, 0.5000)

## Properties
DOS at the Fermi energy: 3.47 states/eV per cell
Energy relative to the elements, uncorrected: -117 kJ/mol of formula units
Polymorph energy (0 for the lowest one): 0.000 eV/atom
M_tot: 0.00 μB/cell


A plane-wave DFT calculation with PBE was carried out for a relaxed BaGdAlHg crystal.

Cell lengths 5.5915, 5.5915, 5.5915 Å; angles 60.00, 60.00, 60.00 degrees
Each line ends with the local moment (μB).
Fractional coordinates of all 4 atoms:
Hg (0.7500, 0.7500, 0.7500)  0.00
Ba (0.5000, 0.5000, 0.5000)  0.02
Al (0.2500, 0.2500, 0.2500)  0.01
Gd (0.0000, 0.0000, 0.0000)  7.04

## Properties
DOS at the Fermi energy: 5.04 states/eV per cell
M_tot: 7.36 μB/cell
E_form: -0.22 eV per atom


A plane-wave DFT calculation with PBE was carried out for a relaxed La2FeMo crystal.

Cell lengths 3.8138, 3.3161, 8.2698 Å; angles 74.23, 90.00, 90.00 degrees
Each line ends with the local moment (μB).
Fractional coordinates of all 4 atoms:
Fe (0.5000, 0.7602, 0.6782)  0.99
La (0.0000, 0.9769, 0.9100)  -0.04
La (0.5000, 0.2682, 0.3306)  0.04
Mo (0.0000, 0.4947, 0.5811)  -0.10

## Properties
DOS at the Fermi energy: 5.55 states/eV per cell
Polymorph energy (0 for the lowest one): 0.052 eV/atom
M_tot: 0.93 μB/cell
E_form: 0.34 eV per atom


A plane-wave DFT calculation with PBE was carried out for a relaxed Mg2SnPb crystal.

Cell lengths 4.7273, 4.7273, 6.3701 Å; angles 68.22, 68.22, 60.00 degrees
Fractional coordinates of all 4 atoms:
Sn (0.6735, 0.6735, 0.9795)
Mg (0.2647, 0.2647, 0.2060)
Mg (0.0694, 0.0694, 0.7918)
Pb (0.4924, 0.4924, 0.5228)

## Properties
DOS at the Fermi energy: 1.91 states/eV per cell
M_tot: 0.00 μB/cell
E_form: -0.02 eV per atom